# 1
The following is a PBEsol calculation of a geometry-optimized CdTeMoO6 structure, from Alexandria via LeMat-Bulk.

a = 5.265 Å, b = 5.265 Å, c = 8.973 Å
α = 90.00°, β = 90.00°, γ = 90.00°
Fractional positions:
Cd 0.000 0.000 0.500
Cd 0.500 0.500 0.500
Te 0.500 0.000 0.765
Te 0.000 0.500 0.235
Mo 0.500 0.000 0.185
Mo 0.000 0.500 0.815
O 0.681 0.181 0.067
O 0.319 0.819 0.067
O 0.196 0.696 0.373
O 0.804 0.304 0.373
O 0.781 0.281 0.715
O 0.219 0.719 0.715
O 0.696 0.804 0.627
O 0.281 0.219 0.285
O 0.304 0.196 0.627
O 0.819 0.681 0.933
O 0.181 0.319 0.933
O 0.719 0.781 0.285

Properties
Space group = P-42_1m
Energy relative to the elements, uncorrected = -1514.2 meV per atom

=====

# 2
The following is a PBEsol calculation of a geometry-optimized Cd4Mo3WO16 structure, from Alexandria via LeMat-Bulk.

a = 5.163 Å, b = 5.163 Å, c = 11.081 Å
α = 90.00°, β = 90.00°, γ = 90.00°
Fractional positions:
Cd 0.000 0.500 0.750
Cd 0.500 0.000 0.250
Cd 0.500 0.500 0.000
Cd 0.000 0.000 0.500
Mo 0.500 0.000 0.750
Mo 0.000 0.500 0.250
Mo 0.000 0.000 0.000
W 0.500 0.500 0.500
O 0.343 0.241 0.838
O 0.840 0.740 0.338
O 0.657 0.759 0.838
O 0.160 0.260 0.338
O 0.243 0.157 0.088
O 0.746 0.660 0.589
O 0.757 0.843 0.088
O 0.254 0.340 0.589
O 0.157 0.757 0.912
O 0.660 0.254 0.411
O 0.843 0.243 0.912
O 0.340 0.746 0.411
O 0.260 0.840 0.662
O 0.759 0.343 0.162
O 0.740 0.160 0.662
O 0.241 0.657 0.162

Properties
Space group = P-4
Energy relative to the elements, uncorrected = -1746.3 meV per atom

=====

# 3
The following is a PBEsol calculation of a geometry-optimized CdMoOs structure, from Alexandria via LeMat-Bulk.

a = 4.298 Å, b = 4.298 Å, c = 4.298 Å
α = 60.00°, β = 60.00°, γ = 60.00°
Fractional positions:
Cd 0.000 0.000 0.000
Mo 0.500 0.500 0.500
Os 0.250 0.250 0.250

Properties
Energy above the most stable polymorph in this dataset = 588 meV/atom
Space group = F-43m

=====

# 4
The following is a PBEsol calculation of a geometry-optimized CdMoOs structure, from Alexandria via LeMat-Bulk.

a = 2.805 Å, b = 2.805 Å, c = 7.047 Å
α = 90.00°, β = 90.00°, γ = 120.00°
Fractional positions:
Cd 0.000 0.000 0.003
Mo 0.333 0.667 0.643
Os 0.667 0.333 0.354

Properties
Energy above the most stable polymorph in this dataset = 0 meV/atom
Space group = P3m1

=====

| no. | theoretical density (g/cm³) |
| --- | --- |
| 1 | 5.77 |
| 2 | 6.62 |
| 3 | 11.79 |
| 4 | 13.78 |